[1]
Entry from Alexandria: a geometry-optimized CdSbF3 structure (PBE). Values from VASP.

Output
Space group: Pm-3m, No. 221
Energy above the lowest structure with this stoichiometry: 0.0 meV/atom

```
&SYSTEM
  ibrav = 0, nat = 5, ntyp = 3
/
ATOMIC_SPECIES
Sb 121.76 Sb.upf
F 19.00 F.upf
Cd 112.41 Cd.upf
ATOMIC_POSITIONS crystal
Sb 0.000 0.000 0.000
F 0.000 0.500 0.000
F 0.000 0.000 0.500
F 0.500 0.000 0.000
Cd 0.500 0.500 0.500
CELL_PARAMETERS angstrom
-3.692 0.989 2.476
-2.615 -0.517 -3.692
-0.521 -4.415 0.988
```

***

[2]
Entry from Alexandria: a geometry-optimized MnPCS structure (PBE). Values from VASP.

Output
Space group: Cm, No. 8
Energy above the lowest structure with this stoichiometry: 193.4 meV/atom

```
&SYSTEM
  ibrav = 0, nat = 8, ntyp = 4
/
ATOMIC_SPECIES
P 30.97 P.upf
S 32.06 S.upf
Mn 54.94 Mn.upf
C 12.01 C.upf
ATOMIC_POSITIONS crystal
P 0.021 0.000 0.676
P 0.021 0.500 0.176
S 0.565 0.000 0.961
S 0.565 0.500 0.461
Mn 0.940 0.000 0.395
Mn 0.940 0.500 0.895
C 0.252 0.000 0.850
C 0.252 0.500 0.350
CELL_PARAMETERS angstrom
4.580 0.000 0.032
0.000 2.889 0.000
-0.113 0.000 8.038
```

***

[3]
Entry from Alexandria: a geometry-optimized Rb4CrH7 structure (PBE). Values from VASP.

Output
Calculated total energy: -38.005 eV per cell
Space group: C2/m, No. 12

```
&SYSTEM
  ibrav = 0, nat = 12, ntyp = 3
/
ATOMIC_SPECIES
Rb 85.47 Rb.upf
Cr 52.00 Cr.upf
H 1.01 H.upf
ATOMIC_POSITIONS crystal
Rb 0.541 0.645 0.273
Rb 0.459 0.355 0.727
Rb 0.710 0.869 0.712
Rb 0.290 0.131 0.288
Cr 0.000 0.000 0.000
H 0.891 0.219 0.000
H 0.109 0.781 0.000
H 0.061 0.084 0.794
H 0.939 0.916 0.206
H 0.357 0.728 0.559
H 0.500 0.000 0.000
H 0.643 0.272 0.441
CELL_PARAMETERS angstrom
-3.368 -1.145 -1.498
2.140 -5.983 -5.211
-0.995 -8.327 3.632
```

***

[4]
Entry from Alexandria: a geometry-optimized Nd6CdCo2 structure (PBE). Values from VASP.

Output
Space group: C2/m, No. 12
Energy relative to the elements: -0.044 eV/atom
Energy above the lowest structure with this stoichiometry: 83.3 meV/atom

```
&SYSTEM
  ibrav = 0, nat = 9, ntyp = 3
/
ATOMIC_SPECIES
Nd 144.24 Nd.upf
Cd 112.41 Cd.upf
Co 58.93 Co.upf
ATOMIC_POSITIONS crystal
Nd 0.967 0.933 0.848
Nd 0.706 0.413 0.161
Nd 0.294 0.587 0.839
Nd 0.664 0.327 0.623
Nd 0.336 0.673 0.377
Nd 0.033 0.067 0.152
Cd 0.000 0.000 0.500
Co 0.610 0.221 0.912
Co 0.390 0.779 0.088
CELL_PARAMETERS angstrom
-0.821 -4.138 3.013
5.362 2.162 -0.030
-0.334 5.459 7.405
```

***

[5]
Entry from Alexandria: a geometry-optimized ZnNi2Ir structure (PBE). Values from VASP.

Output
Space group: R3m, No. 160
Energy relative to the elements: -0.002 eV/atom

```
&SYSTEM
  ibrav = 0, nat = 4, ntyp = 3
/
ATOMIC_SPECIES
Ir 192.22 Ir.upf
Ni 58.69 Ni.upf
Zn 65.41 Zn.upf
ATOMIC_POSITIONS crystal
Ir 0.747 0.747 0.747
Ni 0.997 0.997 0.997
Ni 0.252 0.252 0.252
Zn 0.504 0.504 0.504
CELL_PARAMETERS angstrom
8.439 0.006 0.004
8.016 2.638 0.004
8.016 1.288 2.302
```

***

[6]
Entry from Alexandria: a geometry-optimized Pr2TeI structure (PBE). Values from VASP.

Output
Space group: R3m, No. 160
Energy above the lowest structure with this stoichiometry: 16.3 meV/atom

```
&SYSTEM
  ibrav = 0, nat = 4, ntyp = 3
/
ATOMIC_SPECIES
Pr 140.91 Pr.upf
Te 127.60 Te.upf
I 126.90 I.upf
ATOMIC_POSITIONS crystal
Pr 0.078 0.078 0.767
Pr 0.256 0.256 0.233
Te 0.666 0.666 0.001
I 0.500 0.500 0.499
CELL_PARAMETERS angstrom
4.216 0.000 0.000
2.108 3.651 0.000
2.108 1.217 8.598
```

***

[7]
Entry from Alexandria: a geometry-optimized BSbI2O structure (PBE). Values from VASP.

Output
Space group: P4/mmm, No. 123
Energy above the lowest structure with this stoichiometry: 496.3 meV/atom

```
&SYSTEM
  ibrav = 0, nat = 5, ntyp = 4
/
ATOMIC_SPECIES
I 126.90 I.upf
Sb 121.76 Sb.upf
B 10.81 B.upf
O 16.00 O.upf
ATOMIC_POSITIONS crystal
I 0.000 0.500 0.000
I 0.500 0.000 0.000
Sb 0.000 0.000 0.000
B 0.500 0.500 0.500
O 0.000 0.000 0.500
CELL_PARAMETERS angstrom
-4.918 -3.418 -1.105
2.830 -4.841 2.376
-1.481 0.940 3.679
```

***

[8]
Entry from Alexandria: a geometry-optimized Sc2InPb structure (PBE). Values from VASP.

Output
Space group: P4/mmm, No. 123
Energy relative to the elements: -0.358 eV/atom

```
&SYSTEM
  ibrav = 0, nat = 4, ntyp = 3
/
ATOMIC_SPECIES
Pb 207.20 Pb.upf
Sc 44.96 Sc.upf
In 114.82 In.upf
ATOMIC_POSITIONS crystal
Pb 0.500 0.500 0.750
Sc 0.000 0.000 0.009
Sc 0.000 0.000 0.491
In 0.500 0.500 0.250
CELL_PARAMETERS angstrom
-1.273 2.562 -1.675
-0.910 -2.046 -2.444
-7.615 -1.248 3.880
```

***

Going through the records in order, we get magnetic moment values of 0.00; 0.00; 3.00; 0.00; 1.00; 0.00; 0.01; 0.79 μB per formula unit.